The following is a GGA-PBE calculation of a relaxed Pm2CoGe4 crystal, from Alexandria via LeMat-Bulk.

a = 8.283 Å, b = 8.298 Å, c = 9.069 Å
α = 90.00°, β = 90.00°, γ = 90.00°
Space group Fmmm (No. 69)
Inequivalent atoms, fractional coordinates:
Pm1 0.250 0.250 0.250 [8 per cell]
Co1 0.000 0.000 0.000 [4 per cell]
Ge1 0.000 0.220 0.500 [8 per cell]
Ge2 0.219 0.000 0.500 [8 per cell]

## Properties
- Total energy: -5.439 eV per atom
- Crystal system: orthorhombic
- Total magnetic moment: 0.1314 μB/atom